(1)
This record from Alexandria describes an optimized crystal structure of Y2Tm2ThMg5. The functional is PBE.

Properties
For the volume, the calculation gives 284.7 Å³/f.u. As for the formation energy: 0.121 eV/atom.

Lattice parameters (Å, degrees): 5.1441 10.5213 10.5213 90.00 90.00 90.00
Last column: nearest neighbours and their distance in Å.
Element x y z (fractional)
Mg (0.5000, 0.4259, 0.3016)  4 Mg 3.15-3.38, 2 Tm 3.25, 2 Th 3.40
Mg (0.5000, 0.1984, 0.0741)  4 Mg 3.15-3.38, 2 Tm 3.25, 2 Th 3.40
Tm (0.0000, 0.8818, 0.3818)  3 Y 3.03-3.18, 6 Mg 3.12-3.25
Th (0.0000, 0.5000, 0.5000)  8 Mg 3.40
Tm (0.0000, 0.6182, 0.8818)  3 Y 3.03-3.18, 6 Mg 3.12-3.25
Mg (0.5000, 0.0741, 0.8016)  4 Mg 3.15-3.38, 2 Tm 3.25, 2 Th 3.40
Tm (0.0000, 0.3818, 0.1182)  3 Y 3.03-3.18, 6 Mg 3.12-3.25
Mg (0.5000, 0.8016, 0.9259)  4 Mg 3.15-3.38, 2 Tm 3.25, 2 Th 3.40
Mg (0.5000, 0.0000, 0.5000)  4 Tm 3.12, 4 Mg 3.27
Mg (0.5000, 0.9259, 0.1984)  4 Mg 3.15-3.38, 2 Tm 3.25, 2 Th 3.40
Y (0.0000, 0.1783, 0.3217)  3 Tm 3.03-3.18
Y (0.0000, 0.3217, 0.8217)  3 Tm 3.03-3.18
Mg (0.5000, 0.6984, 0.4259)  4 Mg 3.15-3.38, 2 Tm 3.25, 2 Th 3.40
Y (0.0000, 0.6783, 0.1783)  3 Tm 3.03-3.18
Mg (0.5000, 0.3016, 0.5741)  4 Mg 3.15-3.38, 2 Tm 3.25, 2 Th 3.40
Mg (0.5000, 0.5741, 0.6984)  4 Mg 3.15-3.38, 2 Tm 3.25, 2 Th 3.40
Mg (0.5000, 0.5000, 0.0000)  4 Tm 3.12, 4 Mg 3.27
Th (0.0000, 0.0000, 0.0000)  8 Mg 3.40
Y (0.0000, 0.8217, 0.6783)  3 Tm 3.03-3.18
Tm (0.0000, 0.1182, 0.6182)  3 Y 3.03-3.18, 6 Mg 3.12-3.25

(2)
This record from Alexandria describes an optimized crystal structure of TmThMgZn. The functional is PBE.

Properties
For the volume, the calculation gives 100.6 Å³/f.u. As for the formation energy: -0.083 eV/atom.

Lattice parameters (Å, degrees): 5.2198 5.2198 5.2198 60.00 60.00 60.00
Last column: nearest neighbours and their distance in Å.
Element x y z (fractional)
Mg (0.5000, 0.5000, 0.5000)  4 Tm 3.20, 4 Th 3.20
Tm (0.2500, 0.2500, 0.2500)  4 Mg 3.20, 4 Zn 3.20
Zn (0.0000, 0.0000, 0.0000)  4 Th 3.20, 4 Tm 3.20
Th (0.7500, 0.7500, 0.7500)  4 Mg 3.20, 4 Zn 3.20

(3)
This record from Alexandria describes an optimized crystal structure of TmThMgZr. The functional is PBE.

Properties
For the volume, the calculation gives 107.4 Å³/f.u. As for the formation energy: 0.110 eV/atom.

Lattice parameters (Å, degrees): 5.3356 5.3356 5.3356 60.00 60.00 60.00
Last column: nearest neighbours and their distance in Å.
Element x y z (fractional)
Tm (0.7500, 0.7500, 0.7500)  4 Zr 3.27, 4 Mg 3.27
Zr (0.5000, 0.5000, 0.5000)  4 Th 3.27, 4 Tm 3.27
Mg (0.0000, 0.0000, 0.0000)  4 Th 3.27, 4 Tm 3.27
Th (0.2500, 0.2500, 0.2500)  4 Mg 3.27, 4 Zr 3.27

(4)
This record from Alexandria describes an optimized crystal structure of Th2MgU. The functional is PBE.

Properties
For the volume, the calculation gives 107.0 Å³/f.u. As for the formation energy: 0.232 eV/atom.

Lattice parameters (Å, degrees): 3.3312 5.6675 5.6675 90.00 90.00 90.00
Last column: nearest neighbours and their distance in Å.
Element x y z (fractional)
U (0.5000, 0.0000, 0.0000)  8 Th 3.29, 2 U 3.33
Th (0.0000, 0.0000, 0.5000)  4 Mg 3.29, 4 U 3.29, 2 Th 3.33
Mg (0.5000, 0.5000, 0.5000)  8 Th 3.29, 2 Mg 3.33
Th (0.0000, 0.5000, 0.0000)  4 Mg 3.29, 4 U 3.29, 2 Th 3.33

(5)
This record from Alexandria describes an optimized crystal structure of ThMgU. The functional is PBE.

Properties
For the volume, the calculation gives 80.3 Å³/f.u. As for the formation energy: 0.260 eV/atom.

Lattice parameters (Å, degrees): 3.7062 5.3972 8.2388 88.94 103.00 90.00
Last column: nearest neighbours and their distance in Å.
Element x y z (fractional)
U (0.7544, 0.1596, 0.5088)  2 U 2.54
Mg (0.5820, 0.8092, 0.1640)  3 U 3.22-3.38, 6 Th 3.26-3.38, 1 Mg 3.31
Th (0.0893, 0.3048, 0.1786)  6 Mg 3.26-3.38, 3 U 3.32-3.51, 1 Th 3.53
U (0.2456, 0.8404, 0.4912)  2 U 2.54
Th (0.9107, 0.6952, 0.8214)  6 Mg 3.26-3.38, 3 U 3.32-3.51, 1 Th 3.53
Mg (0.4180, 0.1908, 0.8360)  3 U 3.22-3.38, 6 Th 3.26-3.38, 1 Mg 3.31

(6)
This record from Alexandria describes an optimized crystal structure of Y2Th3Mg2. The functional is PBE.

Properties
For the volume, the calculation gives 214.0 Å³/f.u. As for the formation energy: 0.091 eV/atom.

Lattice parameters (Å, degrees): 3.5641 3.5448 17.0321 90.00 96.01 90.00
Last column: nearest neighbours and their distance in Å.
Element x y z (fractional)
Mg (0.1424, 0.0000, 0.2848)  4 Y 3.30, 4 Th 3.41, 4 Mg 3.54-3.56
Mg (0.8576, 0.0000, 0.7152)  4 Y 3.30, 4 Th 3.41, 4 Mg 3.54-3.56
Y (0.7057, 0.5000, 0.4113)  4 Mg 3.30, 6 Y 3.49-3.56
Th (0.4256, 0.5000, 0.8512)  4 Mg 3.41, 8 Th 3.54-3.56
Th (0.0000, 0.0000, 0.0000)  12 Th 3.54-3.56
Y (0.2943, 0.5000, 0.5887)  4 Mg 3.30, 6 Y 3.49-3.56
Th (0.5744, 0.5000, 0.1488)  4 Mg 3.41, 8 Th 3.54-3.56